1.
Below is an optimized crystal structure of TaZn2Cr, with properties calculated at the GGA-PBE level.

abc: 3.759 3.783 8.210
angles: 90.00 90.00 90.00
Element x y z (fractional)
Ta 0.000 0.000 0.000
Ta 0.500 0.500 0.000
Zn 0.000 0.500 0.266
Zn 0.000 0.500 0.734
Zn 0.500 0.000 0.266
Zn 0.500 0.000 0.734
Cr 0.000 0.000 0.500
Cr 0.500 0.500 0.500

Results
The value obtained for the energy relative to the elements is 208 meV per atom. The calculation puts the energy above the most stable polymorph in this dataset at 104 meV/atom.

2.
Below is an optimized crystal structure of TaZnCr3, with properties calculated at the GGA-PBE level.

abc: 4.461 4.461 4.461
angles: 90.00 90.00 90.00
Element x y z (fractional)
Ta 0.000 0.000 0.000
Zn 0.500 0.500 0.500
Cr 0.000 0.500 0.500
Cr 0.500 0.000 0.500
Cr 0.500 0.500 0.000

Results
The value obtained for the energy relative to the elements is 1463 meV per atom. The calculation puts the energy above the most stable polymorph in this dataset at 0 meV/atom.

3.
Below is an optimized crystal structure of TaZnCr, with properties calculated at the GGA-PBE level.

abc: 5.904 5.904 5.904
angles: 90.00 90.00 90.00
Element x y z (fractional)
Ta 0.000 0.000 0.000
Ta 0.000 0.500 0.500
Ta 0.500 0.000 0.500
Ta 0.500 0.500 0.000
Zn 0.250 0.250 0.250
Zn 0.250 0.750 0.750
Zn 0.750 0.250 0.750
Zn 0.750 0.750 0.250
Cr 0.000 0.000 0.500
Cr 0.000 0.500 0.000
Cr 0.500 0.000 0.000
Cr 0.500 0.500 0.500

Results
The value obtained for the energy relative to the elements is 846 meV per atom. The calculation puts the energy above the most stable polymorph in this dataset at 880 meV/atom.

4.
Below is an optimized crystal structure of TaZnCr, with properties calculated at the GGA-PBE level.

abc: 4.428 4.428 2.617
angles: 90.00 90.00 120.00
Element x y z (fractional)
Ta 0.000 0.000 0.000
Zn 0.667 0.333 0.412
Cr 0.333 0.667 0.681

Results
The value obtained for the energy relative to the elements is 222 meV per atom. The calculation puts the energy above the most stable polymorph in this dataset at 256 meV/atom.